Material: Li7Mn2Co3O12
Method: DFT, GGA+U
State: relaxed

Lattice parameters (Å, degrees): 5.026 5.026 9.776 94.93 94.93 120.02
Fractional coordinates of all 24 atoms:
Li: 0.000 0.000 0.000
Li: 0.083 0.399 0.225
Li: 0.252 0.243 0.776
Li: 0.396 0.075 0.223
Li: 0.601 0.917 0.775
Li: 0.757 0.748 0.224
Li: 0.925 0.604 0.777
Mn: 0.166 0.834 0.500
Mn: 0.499 0.501 0.500
Co: 0.334 0.666 0.000
Co: 0.668 0.332 0.000
Co: 0.832 0.168 0.500
O: 0.044 0.680 0.110
O: 0.152 0.131 0.387
O: 0.226 0.562 0.610
O: 0.320 0.956 0.890
O: 0.394 0.396 0.110
O: 0.438 0.774 0.390
O: 0.510 0.205 0.611
O: 0.604 0.606 0.890
O: 0.683 0.033 0.113
O: 0.795 0.490 0.389
O: 0.869 0.848 0.613
O: 0.967 0.317 0.887

Output
**Polymorph energy (0 for the lowest one)**: 0.0341 eV/atom
**Fermi-level density of states**: 0.01 states/eV/atom
**Spin magnetization**: 9.99 μB per formula unit